Entry 1:
VASP calculation (GGA-PBE) on a relaxed structure of GaFe3H.

## Properties
For the electronic total energy, the calculation gives -6.376 eV per atom. As for the crystal system: monoclinic. The calculation puts the density of states at the Fermi level at 5.87 states/eV per cell.

Geometry as CIF:
```
data_GaFe3H
_chemical_formula_sum 'Ga2 Fe6 H2'
_cell_length_a 2.598
_cell_length_b 8.202
_cell_length_c 5.001
_cell_angle_alpha 90.00
_cell_angle_beta 102.41
_cell_angle_gamma 90.00
_space_group_name_H-M_alt 'P 1 m 1'
_space_group_IT_number 6
loop_
_space_group_symop_operation_xyz
'x,y,z'
'x,-y,z'
loop_
_atom_site_label
_atom_site_fract_x
_atom_site_fract_y
_atom_site_fract_z
_atom_site_occupancy
Ga1 0.000 0.000 0.000 1
Ga2 0.456 0.500 0.488 1
Fe1 0.098 0.500 0.970 1
Fe2 0.340 0.233 0.737 1
Fe3 0.593 0.000 0.483 1
Fe4 0.842 0.249 0.269 1
H1 0.607 0.366 0.991 1
```

---

Entry 2:
VASP calculation (GGA-PBE) on a relaxed structure of Ce5Ga3Hg.

## Properties
As for the crystal system: hexagonal. The formation energy comes out at -0.36 eV per atom. The calculation puts the density of states at the Fermi level at 43.64 states/eV per cell.

Geometry as CIF:
```
data_Ce5Ga3Hg
_chemical_formula_sum 'Ce10 Ga6 Hg2'
_cell_length_a 9.1289
_cell_length_b 9.1289
_cell_length_c 6.3587
_cell_angle_alpha 90.00
_cell_angle_beta 90.00
_cell_angle_gamma 120.00
_space_group_name_H-M_alt 'P 63/m c m'
_space_group_IT_number 193
_space_group_name_Hall '-P 6c 2'
loop_
_atom_site_label
_atom_site_fract_x
_atom_site_fract_y
_atom_site_fract_z
_atom_site_occupancy
Ce1 0.0000 0.3085 0.2500 1
Ce2 0.3333 0.6667 0.0000 1
Ga1 0.0000 0.3588 0.7500 1
Hg1 0.0000 0.0000 0.0000 1
```

---

Entry 3:
VASP calculation (GGA-PBE) on a relaxed structure of K2TbIrO4.

## Properties
As for the crystal system: monoclinic. As for the uncorrected formation energy: -1.77 eV/atom.

Geometry as CIF:
```
data_K2TbIrO4
_chemical_formula_sum 'K2 Tb1 Ir1 O4'
_cell_length_a 5.526
_cell_length_b 3.421
_cell_length_c 6.532
_cell_angle_alpha 90.00
_cell_angle_beta 108.36
_cell_angle_gamma 90.00
_space_group_name_H-M_alt 'P 1 2/m 1'
_space_group_IT_number 10
loop_
_space_group_symop_operation_xyz
'x,y,z'
'-x,-y,-z'
'-x,y,-z'
'x,-y,z'
loop_
_atom_site_label
_atom_site_fract_x
_atom_site_fract_y
_atom_site_fract_z
_atom_site_occupancy
K1 0.000 0.000 0.000 1
K2 0.500 0.500 0.000 1
Tb1 0.000 0.500 0.500 1
Ir1 0.500 0.000 0.500 1
O1 0.243 0.000 0.695 1
O2 0.300 0.500 0.321 1
```